## P
VASP calculation (PBE-GGA) on a geometry-optimized Ti4In3Au structure.

Geometry as POSCAR:
```
Ti4In3Au
1.0
2.9921 0.0000 0.0000
0.0000 2.9921 0.0000
0.0000 0.0000 16.6547
Ti In Au
4 3 1
Direct
0.0000 0.0000 0.1145
0.0000 0.0000 0.3716
0.0000 0.0000 0.6284
0.0000 0.0000 0.8855
0.5000 0.5000 0.2430
0.5000 0.5000 0.5000
0.5000 0.5000 0.7570
0.5000 0.5000 0.0000
```

Properties
The value obtained for the total moment is 0.0 μB/f.u.

---

## Q
VASP calculation (PBE-GGA) on a geometry-optimized Ti4In3Au structure.

Geometry as POSCAR:
```
Ti4In3Au
1.0
4.9785 0.0000 0.0000
0.0000 9.9188 0.0000
0.0000 0.0000 6.2445
Ti In Au
8 6 2
Direct
0.2500 0.0090 0.1040
0.2500 0.2500 0.8939
0.2500 0.4910 0.1040
0.2500 0.7500 0.8849
0.7500 0.2500 0.1151
0.7500 0.5090 0.8960
0.7500 0.7500 0.1061
0.7500 0.9910 0.8960
0.2500 0.0069 0.6361
0.2500 0.4931 0.6361
0.2500 0.7500 0.3582
0.7500 0.2500 0.6418
0.7500 0.5069 0.3639
0.7500 0.9931 0.3639
0.2500 0.2500 0.3585
0.7500 0.7500 0.6415
```

Properties
The value obtained for the total moment is 2.0 μB/f.u.

---

P takes first place; second place is 0.138 eV/atom up.

---

## P
VASP calculation (PBE-GGA) on a geometry-optimized Tl3InAu3 structure.

Geometry as POSCAR:
```
Tl3InAu3
1.0
3.8327 -6.7966 0.0000
3.8327 6.7966 0.0000
-1.8625 0.0000 7.1496
Tl In Au
6 2 6
Direct
0.1967 0.8033 0.0000
0.2740 0.7260 0.5000
0.3823 0.3823 0.1533
0.6177 0.6177 0.8467
0.7260 0.2740 0.5000
0.8033 0.1967 0.0000
0.2249 0.2249 0.5159
0.7751 0.7751 0.4841
0.0384 0.0384 0.8192
0.1224 0.4376 0.7691
0.4376 0.1224 0.7691
0.5624 0.8776 0.2309
0.8776 0.5624 0.2309
0.9616 0.9616 0.1808
```

Properties
The value obtained for the total moment is 0.0 μB/f.u.

---

## Q
VASP calculation (PBE-GGA) on a geometry-optimized Tl3InAu3 structure.

Geometry as POSCAR:
```
Tl3InAu3
1.0
7.9011 0.0000 0.0000
0.0000 7.9011 0.0000
0.0000 0.0000 7.9011
Tl In Au
6 2 6
Direct
0.0000 0.2500 0.5000
0.0000 0.7500 0.5000
0.2500 0.5000 0.0000
0.5000 0.0000 0.2500
0.5000 0.0000 0.7500
0.7500 0.5000 0.0000
0.0000 0.0000 0.0000
0.5000 0.5000 0.5000
0.0000 0.5000 0.2500
0.0000 0.5000 0.7500
0.2500 0.0000 0.5000
0.5000 0.2500 0.0000
0.5000 0.7500 0.0000
0.7500 0.0000 0.5000
```

Properties
The value obtained for the total moment is 0.0 μB/f.u.

---

P takes first place; second place is 0.319 eV/atom up.